! KFePO4 GGA+U relaxed; values from VASP
&SYSTEM
  ibrav = 0, nat = 28, ntyp = 4
/
ATOMIC_SPECIES
O 16.00 O.upf
P 30.97 P.upf
K 39.10 K.upf
Fe 55.84 Fe.upf
CELL_PARAMETERS angstrom
5.5294 0.0000 0.0000
0.0000 6.6505 0.0000
0.0000 0.0000 10.4201
ATOMIC_POSITIONS angstrom
O 0.5672 1.6626 4.9901
O 0.8421 2.9161 7.1779
O 1.9226 0.4092 1.9679
O 0.8421 0.4092 7.1779
O 4.6874 6.2414 3.2421
O 4.6874 3.7345 3.2421
O 4.1824 1.6626 6.6659
O 2.1976 1.6626 10.2001
O 3.6068 6.2414 8.4522
O 3.6068 3.7345 8.4522
O 1.9226 2.9161 1.9679
O 1.4176 4.9879 8.9642
O 3.3319 4.9879 0.2200
O 1.3471 4.9879 3.7542
O 4.1118 1.6626 1.4558
O 4.9623 4.9879 5.4300
P 2.5656 1.6626 1.3017
P 0.1991 1.6626 6.5117
P 2.9638 4.9879 9.1184
P 5.3303 4.9879 3.9084
K 2.7647 3.3253 5.2100
K 0.0000 0.0000 0.0000
K 0.0000 3.3253 0.0000
K 2.7647 0.0000 5.2100
Fe 0.2663 4.9879 7.2680
Fe 5.2632 1.6626 3.1521
Fe 3.0310 1.6626 8.3621
Fe 2.4985 4.9879 2.0579
! calculated volume	13.7	A^3/atom
! N(E_F)	0.0	states/eV per cell
! E	-0.485	Ry per atom